# 1
{
  "formula": "PrPaV2O8",
  "functional": "PBE with a Hubbard U",
  "state": "relaxed",
  "dft_energy_ev_per_atom": -8.477,
  "sg": "No. 119",
  "m_tot_mub_per_atom": 0.17,
  "cell": [[-1.801, 2.574, 5.247], [-4.431, -0.891, -4.119], [2.211, -5.521, 1.422]],
  "species": ["Pr", "Pa", "V", "V", "O", "O", "O", "O", "O", "O", "O", "O"],
  "frac_coords": [[0.000, 0.000, 0.000], [0.250, 0.750, 0.500], [0.750, 0.250, 0.500], [0.500, 0.500, 0.000], [0.379, 0.054, 0.325], [0.326, 0.521, 0.194], [0.326, 0.132, 0.806], [0.729, 0.054, 0.675], [0.868, 0.674, 0.194], [0.946, 0.271, 0.325], [0.946, 0.621, 0.675], [0.479, 0.674, 0.806]]
}

---

# 2
{
  "formula": "PrPaVO6",
  "functional": "PBE with a Hubbard U",
  "state": "relaxed",
  "dft_energy_ev_per_atom": -8.542,
  "sg": "No. 149",
  "m_tot_mub_per_atom": 0.11,
  "cell": [[-2.517, -2.365, -3.352], [3.761, -4.023, 0.015], [-4.313, -0.250, 3.415]],
  "species": ["Pr", "Pa", "V", "O", "O", "O", "O", "O", "O"],
  "frac_coords": [[0.500, 0.667, 0.333], [0.000, 0.333, 0.667], [0.500, 0.000, 0.000], [0.737, 0.686, 0.720], [0.737, 0.280, 0.967], [0.737, 0.033, 0.314], [0.263, 0.280, 0.314], [0.263, 0.686, 0.967], [0.263, 0.033, 0.720]]
}

---

Which formula does entry 1 have?
PrPaV2O8